Record 1
The following is a DFT calculation (PBE-GGA) of LiAcScGe2 after structural relaxation.

The structure in POSCAR format:
```
LiAcScGe2
1.0
-3.758 0.890 2.257
-0.822 -4.382 0.358
5.267 1.598 3.709
Li Ac Sc Ge
1 1 1 2
direct
0.250 0.750 0.500
0.000 0.000 0.000
0.750 0.250 0.500
0.614 0.614 0.229
0.386 0.386 0.771
```

Results
The density of states at the Fermi level comes out at 0.678 states/eV/atom. As for the total energy: -24.88 eV for the cell shown. The formation energy is -64 kJ/mol of atoms. The space-group type is I-4m2, No. 119.



Record 2
The following is a DFT calculation (PBE-GGA) of Rb2AuBr2 after structural relaxation.

The structure in POSCAR format:
```
Rb2AuBr2
1.0
-3.408 -8.104 -3.919
-2.744 -3.056 8.705
-3.609 1.768 -0.517
Au Br Rb
2 4 4
direct
0.000 0.000 0.000
0.500 0.500 0.000
0.153 0.653 0.500
0.653 0.847 0.500
0.847 0.347 0.500
0.347 0.153 0.500
0.353 0.853 0.000
0.853 0.647 0.000
0.647 0.147 0.000
0.147 0.353 0.000
```

Results
For the distance to the lowest polymorph of the same formula, the calculation gives 0 meV/atom. The density of states at the Fermi level comes out at 0.671 states/eV/atom. As for the total energy: -25.40 eV for the cell shown. The uncorrected formation energy is -0.829 eV per atom. The space-group type is P4/mbm, No. 127.



Record 3
The following is a DFT calculation (PBE-GGA) of LiSbRu4 after structural relaxation.

The structure in POSCAR format:
```
LiSbRu4
1.0
1.357 -0.281 4.982
-2.785 -2.868 3.280
1.961 -4.390 1.902
Li Sb Ru
1 1 4
direct
0.000 0.000 0.000
0.750 0.750 0.750
0.875 0.375 0.375
0.375 0.375 0.875
0.375 0.875 0.375
0.375 0.375 0.375
```

Results
The density of states at the Fermi level comes out at 1.344 states/eV/atom. As for the total energy: -40.70 eV for the cell shown. The uncorrected formation energy is 0.406 eV per atom. The space-group type is F-43m, No. 216.



Record 4
The following is a DFT calculation (PBE-GGA) of Pm4IrAu after structural relaxation.

The structure in POSCAR format:
```
Pm4IrAu
1.0
4.961 0.000 0.000
0.000 7.261 0.000
0.000 0.000 18.366
Pm Ir Au
16 4 4
direct
0.750 0.894 0.652
0.250 0.106 0.348
0.250 0.606 0.152
0.750 0.394 0.848
0.750 0.871 0.442
0.250 0.129 0.558
0.250 0.629 0.942
0.750 0.371 0.058
0.750 0.952 0.925
0.250 0.048 0.075
0.250 0.548 0.425
0.750 0.452 0.575
0.750 0.968 0.223
0.250 0.032 0.777
0.250 0.532 0.723
0.750 0.468 0.277
0.750 0.754 0.793
0.250 0.246 0.207
0.250 0.746 0.293
0.750 0.254 0.707
0.750 0.283 0.427
0.250 0.717 0.573
0.250 0.217 0.927
0.750 0.783 0.073
```

Results
For the distance to the lowest polymorph of the same formula, the calculation gives 0 meV/atom. The density of states at the Fermi level comes out at 0.918 states/eV/atom. As for the total energy: -136.82 eV for the cell shown. The formation energy is -49 kJ/mol of atoms. The space-group type is Pnma, No. 62.



Record 5
The following is a DFT calculation (PBE-GGA) of Mg2NiHg after structural relaxation.

The structure in POSCAR format:
```
Mg2NiHg
1.0
5.153 0.020 0.000
2.025 4.738 0.000
-3.589 -2.379 2.830
Hg Mg Ni
1 2 1
direct
0.750 0.250 0.500
0.000 0.000 0.000
0.250 0.750 0.500
0.500 0.500 0.000
```

Results
For the distance to the lowest polymorph of the same formula, the calculation gives 60 meV/atom. The density of states at the Fermi level comes out at 0.198 states/eV/atom. As for the total energy: -9.75 eV for the cell shown. The formation energy is -11 kJ/mol of atoms. The space-group type is I-4m2, No. 119.



Record 6
The following is a DFT calculation (PBE-GGA) of RbBa2Ti after structural relaxation.

The structure in POSCAR format:
```
RbBa2Ti
1.0
0.000 4.540 4.540
4.540 0.000 4.540
4.540 4.540 0.000
Ba Rb Ti
2 1 1
direct
0.250 0.250 0.250
0.750 0.750 0.750
0.500 0.500 0.500
0.000 0.000 0.000
```

Results
For the distance to the lowest polymorph of the same formula, the calculation gives 0 meV/atom. The density of states at the Fermi level comes out at 2.750 states/eV/atom. As for the total energy: -9.40 eV for the cell shown. The formation energy is 80 kJ/mol of atoms. The space-group type is Fm-3m, No. 225.



Record 7
The following is a DFT calculation (PBE-GGA) of As2PbCBr after structural relaxation.

The structure in POSCAR format:
```
As2PbCBr
1.0
-3.702 -1.895 -3.748
4.127 -2.567 -2.779
-0.798 -4.721 3.175
Pb As C Br
1 2 1 1
direct
0.000 0.000 0.000
0.000 0.500 0.000
0.500 0.000 0.000
0.500 0.500 0.500
0.000 0.000 0.500
```

Results
For the distance to the lowest polymorph of the same formula, the calculation gives 1259 meV/atom. The density of states at the Fermi level comes out at 1.335 states/eV/atom. As for the total energy: -13.33 eV for the cell shown. The uncorrected formation energy is 2.115 eV per atom. The space-group type is P4/mmm, No. 123.



Record 8
The following is a DFT calculation (PBE-GGA) of NaLi3Pb after structural relaxation.

The structure in POSCAR format:
```
NaLi3Pb
1.0
8.585 0.000 0.000
0.000 5.930 0.727
0.000 -1.150 8.388
Na Li Pb
4 12 4
direct
0.956 0.499 0.324
0.456 0.001 0.176
0.044 0.501 0.676
0.544 0.999 0.824
0.366 0.261 0.579
0.134 0.761 0.079
0.635 0.278 0.411
0.135 0.222 0.089
0.365 0.722 0.589
0.634 0.739 0.421
0.854 0.017 0.591
0.146 0.983 0.409
0.866 0.239 0.921
0.865 0.778 0.911
0.646 0.517 0.091
0.354 0.483 0.909
0.342 0.504 0.280
0.658 0.496 0.720
0.158 0.004 0.780
0.842 0.996 0.220
```

Results
For the distance to the lowest polymorph of the same formula, the calculation gives 9 meV/atom. The density of states at the Fermi level comes out at 0.254 states/eV/atom. As for the total energy: -47.23 eV for the cell shown. The formation energy is -20 kJ/mol of atoms. The space-group type is P2_1/c, No. 14.